No. 1
Density functional theory data (PBE) for a geometry-optimized ZnInTc2 structure.

extended XYZ file:
```
4
Lattice="3.8948 0.0000 0.0000 0.0000 3.8948 0.0000 0.0000 0.0000 4.2454" Properties=species:S:1:pos:R:3 pbc="T T T"
Zn 0.0000 0.0000 0.0000
In 1.9474 1.9474 0.0000
Tc 0.0000 1.9474 2.1227
Tc 1.9474 0.0000 2.1227
```

Output
* formation energy: 37 kJ per mole of atoms



No. 2
Density functional theory data (PBE) for a geometry-optimized Cs2NbSCl5 structure.

extended XYZ file:
```
9
Lattice="-3.7244 3.7244 5.4705 3.7244 -3.7244 5.4705 3.7244 3.7244 -5.4705" Properties=species:S:1:pos:R:3 pbc="T T T"
Cs 3.7244 0.0000 0.0000
Cs 0.0000 3.7244 0.0000
Nb 0.0000 0.0000 2.9498
S 0.0000 0.0000 5.1671
Cl 2.0100 2.0100 -2.7665
Cl 1.7145 -1.7145 2.7041
Cl 0.0000 0.0000 0.3208
Cl -1.7145 1.7145 2.7041
Cl 1.7145 1.7145 2.7041
```

Output
* formation energy from raw total energies: -1.577 eV per atom



No. 3
Density functional theory data (PBE) for a geometry-optimized ErSc2O structure.

extended XYZ file:
```
4
Lattice="1.6389 0.9462 8.2279 -1.6389 0.9462 8.2279 0.0000 -1.8924 8.2279" Properties=species:S:1:pos:R:3 pbc="T T T"
Er 0.0000 0.0000 0.0000
Sc 0.0000 0.0000 5.3673
Sc 0.0000 0.0000 19.3163
O 0.0000 0.0000 12.3418
```

Output
* formation energy from raw total energies: -1.401 eV per atom



No. 4
Density functional theory data (PBE) for a geometry-optimized TmTe2Pt structure.

extended XYZ file:
```
4
Lattice="1.9722 1.1386 8.9570 -1.9722 1.1386 8.9570 0.0000 -2.2773 8.9570" Properties=species:S:1:pos:R:3 pbc="T T T"
Tm 0.0000 0.0000 0.0000
Te 0.0000 0.0000 3.0065
Te 0.0000 0.0000 23.8645
Pt 0.0000 0.0000 13.4355
```

Output
* formation energy from raw total energies: -0.236 eV per atom



No. 5
Density functional theory data (PBE) for a geometry-optimized Ca2LaYB structure.

extended XYZ file:
```
5
Lattice="5.3976 0.0000 0.0000 0.0000 5.3976 0.0000 0.0000 0.0000 5.2878" Properties=species:S:1:pos:R:3 pbc="T T T"
Ca 0.0000 2.6988 0.0000
Ca 2.6988 0.0000 0.0000
La 0.0000 0.0000 2.6439
Y 2.6988 2.6988 2.6439
B 2.6988 2.6988 0.0000
```

Output
* formation energy: 24 kJ per mole of atoms



No. 6
Density functional theory data (PBE) for a geometry-optimized YPu4Mg structure.

extended XYZ file:
```
6
Lattice="0.0000 4.3578 4.3578 4.3578 0.0000 4.3578 4.3578 4.3578 0.0000" Properties=species:S:1:pos:R:3 pbc="T T T"
Y 0.0000 0.0000 0.0000
Pu 5.4445 3.2710 3.2710
Pu 3.2710 5.4445 3.2710
Pu 3.2710 3.2710 5.4445
Pu 5.4445 5.4445 5.4445
Mg 2.1789 2.1789 2.1789
```

Output
* formation energy: 29 kJ per mole of atoms



No. 7
Density functional theory data (PBE) for a geometry-optimized PdPbS2Cl structure.

extended XYZ file:
```
5
Lattice="5.1854 0.0000 0.0000 0.0000 5.1854 0.0000 0.0000 0.0000 5.3194" Properties=species:S:1:pos:R:3 pbc="T T T"
Pd 0.0000 0.0000 0.0000
Pb 2.5927 2.5927 2.6597
S 0.0000 2.5927 2.6597
S 2.5927 0.0000 2.6597
Cl 2.5927 2.5927 0.0000
```

Output
* formation energy from raw total energies: 0.628 eV per atom



No. 8
Density functional theory data (PBE) for a geometry-optimized KHgPt3 structure.

extended XYZ file:
```
5
Lattice="5.1456 0.0000 0.0000 0.0000 5.1456 0.0000 0.0000 0.0000 5.1456" Properties=species:S:1:pos:R:3 pbc="T T T"
K 0.0000 0.0000 0.0000
Hg 2.5728 2.5728 2.5728
Pt 0.0000 2.5728 2.5728
Pt 2.5728 0.0000 2.5728
Pt 2.5728 2.5728 0.0000
```

Output
* formation energy: 85 kJ per mole of atoms



No. 9
Density functional theory data (PBE) for a geometry-optimized Tl2CrPb structure.

extended XYZ file:
```
4
Lattice="3.5843 0.0000 0.0000 0.0000 5.0461 0.0000 -1.3642 0.0000 5.9531" Properties=species:S:1:pos:R:3 pbc="T T T"
Tl 0.2466 0.0000 1.5886
Tl 1.9735 0.0000 4.3645
Cr -0.6821 2.5231 2.9765
Pb 1.7921 2.5231 0.0000
```

Output
* formation energy: 42 kJ per mole of atoms



No. 10
Density functional theory data (PBE) for a geometry-optimized Y2Cd15Ag2 structure.

extended XYZ file:
```
19
Lattice="4.9793 2.8748 4.9763 -4.9793 2.8748 4.9763 0.0000 -5.7496 4.9763" Properties=species:S:1:pos:R:3 pbc="T T T"
Y 0.0000 0.0000 2.5517
Y 0.0000 0.0000 12.3773
Cd -2.4896 -1.4374 4.9763
Cd 0.0000 -2.9807 4.6582
Cd -2.5814 1.4904 4.6582
Cd -1.4778 -2.5596 7.4645
Cd -2.9556 0.0000 7.4645
Cd -2.5814 -1.4904 10.2708
Cd -2.4896 1.4374 9.9527
Cd 1.4778 -2.5596 7.4645
Cd 0.0000 2.8748 4.9763
Cd -1.4778 2.5596 7.4645
Cd 2.5814 1.4904 4.6582
Cd 2.9556 0.0000 7.4645
Cd 1.4778 2.5596 7.4645
Cd 2.5814 -1.4904 10.2708
Cd 0.0000 2.9807 10.2708
Ag 0.0000 0.0000 5.9073
Ag 0.0000 0.0000 9.0217
```

Output
* formation energy: -10 kJ per mole of atoms



No. 11
Density functional theory data (PBE) for a geometry-optimized PmGdAs structure.

extended XYZ file:
```
3
Lattice="0.0000 3.4798 3.4798 3.4798 0.0000 3.4798 3.4798 3.4798 0.0000" Properties=species:S:1:pos:R:3 pbc="T T T"
Pm 0.0000 0.0000 0.0000
Gd 3.4798 3.4798 3.4798
As 1.7399 1.7399 1.7399
```

Output
* formation energy: -79 kJ per mole of atoms



No. 12
Density functional theory data (PBE) for a geometry-optimized Pm4SmY10 structure.

extended XYZ file:
```
15
Lattice="-6.1360 6.1360 3.8831 6.1360 -6.1360 3.8831 6.1360 6.1360 -3.8831" Properties=species:S:1:pos:R:3 pbc="T T T"
Pm 3.6733 1.2324 0.0000
Pm 4.9037 -2.4628 3.8831
Pm 1.2324 8.5988 0.0000
Pm 2.4628 4.9037 3.8831
Sm 0.0000 0.0000 3.8831
Y 4.9164 3.6793 -1.9381
Y 2.4568 -1.2197 1.9450
Y 6.1360 0.0000 1.9416
Y 3.6793 7.3557 -1.9381
Y 1.2197 2.4568 1.9450
Y 4.9164 3.6793 1.9381
Y 2.4568 -1.2197 5.8212
Y 0.0000 6.1360 1.9416
Y 3.6793 7.3557 1.9381
Y 1.2197 2.4568 5.8212
```

Output
* formation energy: 73 kJ per mole of atoms



No. 13
Density functional theory data (PBE) for a geometry-optimized POsCl2F structure.

extended XYZ file:
```
5
Lattice="4.9486 0.0000 0.0000 0.0000 4.9486 0.0000 0.0000 0.0000 3.5281" Properties=species:S:1:pos:R:3 pbc="T T T"
P 0.0000 0.0000 0.0000
Os 2.4743 2.4743 0.0000
Cl 0.0000 2.4743 1.7640
Cl 2.4743 0.0000 1.7640
F 0.0000 0.0000 1.7640
```

Output
* formation energy from raw total energies: 1.156 eV per atom



No. 14
Density functional theory data (PBE) for a geometry-optimized Er3TaO7 structure.

extended XYZ file:
```
44
Lattice="7.3841 0.0000 0.0000 0.0000 10.4996 0.0000 0.0000 0.0000 7.5300" Properties=species:S:1:pos:R:3 pbc="T T T"
Er 0.1251 2.6249 1.5189
Er 1.8328 0.2183 4.0087
Er 1.8328 5.0315 4.0087
Er 1.8593 5.4681 0.2437
Er 1.8593 10.2813 0.2437
Er 3.5670 7.8747 5.2839
Er 3.8171 2.6249 2.2461
Er 5.5249 0.2183 7.2862
Er 5.5249 5.0315 7.2862
Er 5.5513 5.4681 3.5213
Er 5.5513 10.2813 3.5213
Er 7.2591 7.8747 6.0110
Ta 0.0183 2.6249 5.6466
Ta 3.6738 7.8747 1.8816
Ta 3.7103 2.6249 5.6483
Ta 7.3659 7.8747 1.8833
O 0.2865 1.3065 7.1951
O 0.2865 3.9432 7.1951
O 0.3119 6.3935 3.0837
O 0.3119 9.3559 3.0837
O 1.7820 6.4672 5.7834
O 1.7820 9.2822 5.7834
O 1.8370 2.6249 4.9640
O 1.8551 7.8747 1.1991
O 1.9101 1.2174 2.0185
O 1.9101 4.0324 2.0185
O 3.3802 1.1437 6.8486
O 3.3802 4.1061 6.8486
O 3.4055 6.5563 3.4301
O 3.4055 9.1930 3.4301
O 3.9786 1.3065 4.0999
O 3.9786 3.9432 4.0999
O 4.0040 6.3935 0.6813
O 4.0040 9.3559 0.6813
O 5.4741 6.4672 5.5115
O 5.4741 9.2822 5.5115
O 5.5290 2.6249 6.3309
O 5.5472 7.8747 2.5659
O 5.6021 1.2174 1.7465
O 5.6021 4.0324 1.7465
O 7.0722 1.1437 4.4463
O 7.0722 4.1061 4.4463
O 7.0976 6.5563 0.3349
O 7.0976 9.1930 0.3349
```

Output
* formation energy from raw total energies: -3.426 eV per atom



No. 15
Density functional theory data (PBE) for a geometry-optimized Tb6DyTm3Th2 structure.

extended XYZ file:
```
12
Lattice="3.0740 -5.3181 0.0000 3.0740 5.3181 0.0000 -2.0484 0.0000 11.5794" Properties=species:S:1:pos:R:3 pbc="T T T"
Tb -0.0121 1.7883 8.6894
Tb 1.0074 0.0000 2.8921
Tb -0.0121 -1.7883 8.6894
Tb 4.1116 1.7883 2.8900
Tb 3.0922 0.0000 8.6873
Tb 4.1116 -1.7883 2.8900
Dy 3.0740 0.0000 0.0000
Tm -1.0242 0.0000 5.7897
Tm 2.0498 1.7706 5.7897
Tm 2.0498 -1.7706 5.7897
Th 3.0740 3.5452 0.0000
Th 3.0740 -3.5452 0.0000
```

Output
* formation energy: 3 kJ per mole of atoms



No. 16
Density functional theory data (PBE) for a geometry-optimized Sm4SnSb3 structure.

extended XYZ file:
```
8
Lattice="6.3235 0.0000 0.0000 0.0000 6.3235 0.0000 0.0000 0.0000 6.3235" Properties=species:S:1:pos:R:3 pbc="T T T"
Sm 0.0000 0.0000 0.0000
Sm 0.0000 3.1618 3.1618
Sm 3.1618 0.0000 3.1618
Sm 3.1618 3.1618 0.0000
Sn 3.1618 3.1618 3.1618
Sb 0.0000 0.0000 3.1618
Sb 0.0000 3.1618 0.0000
Sb 3.1618 0.0000 0.0000
```

Output
* formation energy from raw total energies: -1.015 eV per atom



No. 17
Density functional theory data (PBE) for a geometry-optimized Al3BiAu structure.

extended XYZ file:
```
5
Lattice="4.9420 0.0000 0.0000 0.0000 4.9420 0.0000 0.0000 0.0000 4.9420" Properties=species:S:1:pos:R:3 pbc="T T T"
Al 0.0000 0.0000 2.4710
Al 0.0000 2.4710 0.0000
Al 2.4710 0.0000 0.0000
Bi 2.4710 2.4710 2.4710
Au 0.0000 0.0000 0.0000
```

Output
* formation energy: 16 kJ per mole of atoms



No. 18
Density functional theory data (PBE) for a geometry-optimized BaSmSn4 structure.

extended XYZ file:
```
6
Lattice="0.0000 4.5061 4.5061 4.5061 0.0000 4.5061 4.5061 4.5061 0.0000" Properties=species:S:1:pos:R:3 pbc="T T T"
Ba 0.0000 0.0000 0.0000
Sm 6.7592 6.7592 6.7592
Sn 3.3920 3.3920 3.3920
Sn 5.6202 5.6202 3.3920
Sn 5.6202 3.3920 5.6202
Sn 3.3920 5.6202 5.6202
```

Output
* formation energy: -37 kJ per mole of atoms



No. 19
Density functional theory data (PBE) for a geometry-optimized Ti2ReW5 structure.

extended XYZ file:
```
16
Lattice="5.4190 0.0000 0.0000 0.0000 10.5561 0.0000 0.0000 0.0000 4.4745" Properties=species:S:1:pos:R:3 pbc="T T T"
Ti 0.8636 1.2165 0.0000
Ti 1.8458 6.4945 0.0000
Ti 3.5731 4.0616 0.0000
Ti 4.5553 9.3396 0.0000
Re 0.0000 0.0000 2.2373
Re 2.7095 5.2781 2.2373
W 0.0000 5.2781 2.2373
W 0.8285 7.9626 2.2373
W 0.8737 3.9544 0.0000
W 1.8358 9.2325 0.0000
W 1.8810 2.6845 2.2373
W 2.7095 0.0000 2.2373
W 3.5379 7.8716 2.2373
W 3.5831 1.3236 0.0000
W 4.5453 6.6017 0.0000
W 4.5905 2.5935 2.2373
```

Output
* formation energy: -3 kJ per mole of atoms



No. 20
Density functional theory data (PBE) for a geometry-optimized AcHoRh2 structure.

extended XYZ file:
```
4
Lattice="3.5299 0.0000 0.0000 0.0000 3.5299 0.0000 0.0000 0.0000 7.2440" Properties=species:S:1:pos:R:3 pbc="T T T"
Ac 0.0000 0.0000 0.0000
Ho 0.0000 0.0000 3.6220
Rh 1.7650 1.7650 2.0248
Rh 1.7650 1.7650 5.2192
```

Output
* formation energy: -64 kJ per mole of atoms



Let's list DOS(E_F) in order: 4.61 0.00 4.96 3.04 7.46 26.74 7.52 4.86 2.04 6.95 3.58 24.62 3.82 0.00 17.10 5.44 3.49 6.34 8.76 3.31 states/eV/cell.